[1]
## Al4ReIr (SCAN)

Data for a crystal of Al4ReIr relaxed with PBEsol.

a b c (Å): 4.9092 4.9092 4.9092
angles (deg): 60.00 60.00 60.00
Element x y z (fractional)
Al  0.1251  0.1251  0.1251
Al  0.1251  0.1251  0.6248
Al  0.1251  0.6248  0.1251
Al  0.6248  0.1251  0.1251
Re  0.7500  0.7500  0.7500
Ir  0.5000  0.5000  0.5000

Output
Space group: No. 216
Calculated formation energy, eV/atom: 0.031
Total magnetic moment, μB/f.u.: 0.00
N(E_F), states/eV per atom: 0.631



[2]
## Na3RhO (SCAN)

Data for a crystal of Na3RhO relaxed with PBEsol.

a b c (Å): 5.3136 5.3136 5.3136
angles (deg): 90.00 90.00 90.00
Element x y z (fractional)
Na  0.0000  0.0000  0.5000
Na  0.0000  0.5000  0.0000
Na  0.5000  0.0000  0.0000
Rh  0.0000  0.0000  0.0000
O  0.5000  0.5000  0.5000

Output
Space group: No. 221
Formation energy from raw total energies, eV/atom: 0.772
Total magnetic moment, μB/f.u.: 2.00
N(E_F), states/eV per atom: 1.692



[3]
## FeCoNi6 (SCAN)

Data for a crystal of FeCoNi6 relaxed with PBEsol.

a b c (Å): 6.0124 6.0124 9.8468
angles (deg): 90.00 90.00 109.56
Element x y z (fractional)
Fe  0.0000  0.0000  0.2503
Fe  0.0000  0.0000  0.7497
Fe  0.2487  0.7513  0.0000
Fe  0.7513  0.2487  0.0000
Co  0.2483  0.7517  0.5000
Co  0.5000  0.5000  0.2514
Co  0.5000  0.5000  0.7486
Co  0.7517  0.2483  0.5000
Ni  0.0000  0.0000  0.0000
Ni  0.0000  0.0000  0.5000
Ni  0.1255  0.3758  0.3752
Ni  0.1255  0.3758  0.6248
Ni  0.1259  0.3758  0.1254
Ni  0.1259  0.3758  0.8746
Ni  0.2505  0.7495  0.2510
Ni  0.2505  0.7495  0.7490
Ni  0.3758  0.1255  0.3752
Ni  0.3758  0.1255  0.6248
Ni  0.3758  0.1259  0.1254
Ni  0.3758  0.1259  0.8746
Ni  0.5000  0.5000  0.0000
Ni  0.5000  0.5000  0.5000
Ni  0.6242  0.8741  0.1254
Ni  0.6242  0.8741  0.8746
Ni  0.6242  0.8745  0.3752
Ni  0.6242  0.8745  0.6248
Ni  0.7495  0.2505  0.2510
Ni  0.7495  0.2505  0.7490
Ni  0.8741  0.6242  0.1254
Ni  0.8741  0.6242  0.8746
Ni  0.8745  0.6242  0.3752
Ni  0.8745  0.6242  0.6248

Output
Space group: No. 65
Calculated formation energy, eV/atom: -0.076
Total magnetic moment, μB/f.u.: 9.42
N(E_F), states/eV per atom: 0.773